(1)
DFT (GGA-PBE) results for an optimized crystal structure of AcAl2S4.

Cell and atoms, written as extended XYZ:
```
7
Lattice="-4.620 -1.012 -3.713 5.338 -2.723 -0.498 -2.052 -2.030 5.275" Properties=species:S:1:pos:R:3 pbc="T T T"
Ac 0.359 -1.868 -2.105
Al -3.157 -2.455 -0.272
S -2.734 -2.055 -2.466
S -1.594 -1.557 1.109
S 0.260 -4.209 -0.045
S 1.400 -3.711 3.531
Al 1.822 -3.311 1.336
```

Values from the calculation:
Crystal system: tetragonal
Formation energy (no corrections), meV per atom: -1190
Distance to the lowest polymorph of the same formula, eV per atom: 0.087


(2)
DFT (GGA-PBE) results for an optimized crystal structure of Er6AlIn3.

Cell and atoms, written as extended XYZ:
```
20
Lattice="-0.782 -0.313 -5.181 8.935 -1.462 -1.261 -5.093 -10.259 1.388" Properties=species:S:1:pos:R:3 pbc="T T T"
In 0.502 -7.272 -3.625
In 1.255 -0.883 -4.125
Al 5.285 -7.656 -1.665
Er 0.724 -4.109 -3.850
Er 6.831 -2.829 -4.849
In 2.558 -4.762 -1.428
Er 2.912 -9.977 -3.826
Er -0.447 -10.382 -3.294
Er -2.716 -7.452 -3.129
Er 5.776 -4.582 -1.925
In 3.844 -3.378 -4.365
Er 2.336 -7.925 -1.204
Al -2.225 -4.377 -3.388
Er 3.687 -6.509 -4.152
In 1.804 -11.150 -0.929
Er 0.148 -2.057 -1.228
In -0.784 -8.656 -0.689
Er 3.507 -1.651 -1.759
Er -0.627 -5.525 -0.901
Er -3.772 -9.205 -0.204
```

Values from the calculation:
Crystal system: monoclinic
Energy of formation, eV/atom: -0.34


(3)
DFT (GGA-PBE) results for an optimized crystal structure of FeNi8Pd3.

Cell and atoms, written as extended XYZ:
```
12
Lattice="2.576 -0.139 0.529 -0.126 8.448 2.836 3.735 6.197 9.696" Properties=species:S:1:pos:R:3 pbc="T T T"
Ni 3.610 7.864 7.445
Pd 4.471 8.401 9.951
Ni 4.575 6.056 8.830
Ni 1.589 8.419 4.301
Fe 3.560 10.237 8.315
Ni 2.573 6.602 5.591
Ni 2.641 9.733 6.098
Ni 3.532 4.850 7.019
Pd 1.722 6.078 3.056
Ni 1.700 3.355 2.435
Pd 2.608 4.045 4.752
Ni 4.517 11.122 10.454
```

Values from the calculation:
Crystal system: monoclinic
Energy of formation, eV/atom: 0.04


no.,density (g/cm3),D(E_F) (states/eV per atom)
1,4.26,0.42
2,8.66,0.92
3,9.54,1.62